Entry 1:
DyY3Sc2Te6: optimized geometry, GGA-PBE.

Summary:
space-group type	C2/m, No. 12
uncorrected formation energy	-1.231	eV/atom
size of the total moment	0.0	Bohr magnetons per cell
VASP energy	-5.856	eV per atom

CIF file:
```
data_DyY3Sc2Te6
_space_group_name_H-M_alt 'P 1'
_space_group_IT_number 1
_cell_length_a 4.2886
_cell_length_b 8.6236
_cell_length_c 9.6116
_cell_angle_alpha 102.94
_cell_angle_beta 102.89
_cell_angle_gamma 90.00
loop_
_space_group_symop_operation_xyz
'x,y,z'
loop_
_atom_site_label
_atom_site_fract_x
_atom_site_fract_y
_atom_site_fract_z
Dy1 0.5000 0.0000 0.0000
Y1 0.5000 0.5000 0.0000
Y2 0.8386 0.1701 0.6772
Y3 0.1614 0.8299 0.3228
Sc1 0.8345 0.6685 0.6689
Sc2 0.1655 0.3315 0.3311
Te1 0.3309 0.9064 0.6618
Te2 0.6708 0.5745 0.3416
Te3 0.6691 0.0936 0.3382
Te4 0.0057 0.2524 0.0114
Te5 0.9943 0.7476 0.9886
Te6 0.3292 0.4255 0.6584
```

---

Entry 2:
Dy5Th4Sc: optimized geometry, GGA-PBE.

Summary:
space-group type	C2/m, No. 12
formation enthalpy at 0 K	3.89	kcal/mol of atoms
size of the total moment	0.0	Bohr magnetons per cell
VASP energy	-5.733	eV per atom

CIF file:
```
data_Dy5Th4Sc
_space_group_name_H-M_alt 'P 1'
_space_group_IT_number 1
_cell_length_a 3.5363
_cell_length_b 11.4172
_cell_length_c 9.1071
_cell_angle_alpha 62.79
_cell_angle_beta 101.19
_cell_angle_gamma 90.00
loop_
_space_group_symop_operation_xyz
'x,y,z'
loop_
_atom_site_label
_atom_site_fract_x
_atom_site_fract_y
_atom_site_fract_z
Dy1 0.2000 0.4072 0.3999
Dy2 0.1672 0.8636 0.3344
Dy3 0.8328 0.1364 0.6656
Dy4 0.5000 0.5000 0.0000
Dy5 0.8000 0.5928 0.6001
Th1 0.6541 0.1347 0.3082
Th2 0.9585 0.2744 0.9170
Th3 0.3459 0.8653 0.6918
Th4 0.0415 0.7256 0.0830
Sc1 0.5000 0.0000 0.0000
```

---

Entry 3:
Dy2Th5Sc5: optimized geometry, GGA-PBE.

Summary:
space-group type	C2/m, No. 12
formation enthalpy at 0 K	1.04	kcal/mol of atoms
size of the total moment	0.0	Bohr magnetons per cell
VASP energy	-6.452	eV per atom

CIF file:
```
data_Dy2Th5Sc5
_space_group_name_H-M_alt 'P 1'
_space_group_IT_number 1
_cell_length_a 4.8460
_cell_length_b 7.7056
_cell_length_c 10.3532
_cell_angle_alpha 72.92
_cell_angle_beta 76.47
_cell_angle_gamma 71.67
loop_
_space_group_symop_operation_xyz
'x,y,z'
loop_
_atom_site_label
_atom_site_fract_x
_atom_site_fract_y
_atom_site_fract_z
Dy1 0.9181 0.4113 0.7525
Dy2 0.0819 0.5887 0.2475
Th1 0.8337 0.8330 0.4996
Th2 0.2497 0.7485 0.7520
Th3 0.7503 0.2515 0.2480
Th4 0.1663 0.1670 0.5004
Th5 0.0000 0.0000 0.0000
Sc1 0.5000 0.5000 0.5000
Sc2 0.3326 0.3318 0.0031
Sc3 0.4160 0.9218 0.2463
Sc4 0.5840 0.0782 0.7537
Sc5 0.6674 0.6682 0.9969
```